Entry 1:
The following is a DFT calculation (GGA-PBE) of a relaxed structure of La6HgGe2Te3.

Output
The value obtained for the magnetic moment is 0.000 μB/cell. The calculation puts the total energy at -62.6 eV/cell.

Geometry as POSCAR:
```
La6HgGe2Te3
1.0
9.914 -2.249 0.000
9.914 2.249 0.000
-2.280 0.000 8.902
La Hg Ge Te
6 1 2 3
direct
0.007 0.007 0.258 La
0.327 0.327 0.431 La
0.331 0.331 0.897 La
0.669 0.669 0.103 La
0.673 0.673 0.569 La
0.993 0.993 0.742 La
0.500 0.500 0.000 Hg
0.166 0.166 0.331 Ge
0.834 0.834 0.669 Ge
0.164 0.164 0.833 Te
0.500 0.500 0.500 Te
0.836 0.836 0.167 Te
```

***

Entry 2:
The following is a DFT calculation (GGA-PBE) of a relaxed structure of Sr4TlTe.

Output
The value obtained for the magnetic moment is 0.000 μB/cell. The calculation puts the total energy at -11.9 eV/cell.

Geometry as POSCAR:
```
Sr4TlTe
1.0
0.000 5.058 5.058
5.058 0.000 5.058
5.058 5.058 0.000
Sr Tl Te
4 1 1
direct
0.125 0.125 0.125 Sr
0.125 0.125 0.625 Sr
0.125 0.625 0.125 Sr
0.625 0.125 0.125 Sr
0.500 0.500 0.500 Tl
0.750 0.750 0.750 Te
```

***

Entry 3:
The following is a DFT calculation (GGA-PBE) of a relaxed structure of LaPmNd2.

Output
The value obtained for the calculated formation energy is 17 meV per atom. The value obtained for the magnetic moment is 0.000 μB/cell.

Geometry as POSCAR:
```
LaPmNd2
1.0
3.698 0.000 0.000
-1.849 3.203 0.000
0.000 0.000 36.140
La Pm Nd
3 3 6
direct
0.000 0.000 0.000 La
0.333 0.667 0.667 La
0.667 0.333 0.333 La
0.000 0.000 0.833 Pm
0.333 0.667 0.500 Pm
0.667 0.333 0.167 Pm
0.000 0.000 0.248 Nd
0.000 0.000 0.418 Nd
0.333 0.667 0.085 Nd
0.333 0.667 0.915 Nd
0.667 0.333 0.582 Nd
0.667 0.333 0.752 Nd
```

***

Entry 4:
The following is a DFT calculation (GGA-PBE) of a relaxed structure of ZnCrIn2.

Output
The value obtained for the calculated formation energy is 729 meV per atom. The value obtained for the magnetic moment is 0.000 μB/cell.

Geometry as POSCAR:
```
ZnCrIn2
1.0
7.395 0.000 0.000
0.000 7.395 0.000
0.000 0.000 5.731
Zn Cr In
4 4 8
direct
0.000 0.000 0.000 Zn
0.000 0.500 0.250 Zn
0.500 0.000 0.750 Zn
0.500 0.500 0.500 Zn
0.000 0.000 0.500 Cr
0.000 0.500 0.750 Cr
0.500 0.000 0.250 Cr
0.500 0.500 0.000 Cr
0.246 0.750 0.125 In
0.250 0.246 0.875 In
0.250 0.254 0.375 In
0.254 0.750 0.625 In
0.746 0.250 0.625 In
0.750 0.746 0.375 In
0.750 0.754 0.875 In
0.754 0.250 0.125 In
```

***

> Which formula does entry 1 have?

La6HgGe2Te3